# 1
Here is a relaxed structure of CaLa2RuO from Alexandria via LeMat-Bulk. Energies are from PBE.

- DFT total energy (eV per atom) = -5.310
- calculated density (g cm⁻³) = 4.6
- DOS at the Fermi energy (states/eV/cell) = 4.76
- spin magnetization (μB per cell) = 0.00

Structure (CIF):
```
data_CaLa2RuO
_cell_length_a 5.2757
_cell_length_b 5.2757
_cell_length_c 5.6269
_cell_angle_alpha 90.00
_cell_angle_beta 90.00
_cell_angle_gamma 90.00
_symmetry_space_group_name_H-M 'P 4/m m m'
_symmetry_Int_Tables_number 123
_symmetry_space_group_name_Hall '-P 4 2'
loop_
_atom_site_label
_atom_site_type_symbol
_atom_site_fract_x
_atom_site_fract_y
_atom_site_fract_z
Ca1 Ca 0.0000 0.0000 0.0000
La1 La 0.0000 0.5000 0.5000
Ru1 Ru 0.0000 0.0000 0.5000
O1 O 0.5000 0.5000 0.0000
```

***

# 2
Here is a relaxed structure of ZrCd2Co from Alexandria via LeMat-Bulk. Energies are from PBE.

- DFT total energy (eV per atom) = -4.227
- calculated density (g cm⁻³) = 8.5
- formation energy (meV per atom) = 144
- DOS at the Fermi energy (states/eV/cell) = 6.85
- energy relative to the lowest polymorph listed for this composition (meV/atom) = 216
- spin magnetization (μB per cell) = 0.99

Structure (CIF):
```
data_ZrCd2Co
_cell_length_a 4.1355
_cell_length_b 4.1355
_cell_length_c 8.6161
_cell_angle_alpha 90.00
_cell_angle_beta 90.00
_cell_angle_gamma 90.00
_symmetry_space_group_name_H-M 'I 4/m m m'
_symmetry_Int_Tables_number 139
_symmetry_space_group_name_Hall '-I 4 2'
loop_
_atom_site_label
_atom_site_type_symbol
_atom_site_fract_x
_atom_site_fract_y
_atom_site_fract_z
Zr1 Zr 0.0000 0.0000 0.0000
Cd1 Cd 0.0000 0.5000 0.2500
Co1 Co 0.0000 0.0000 0.5000
```

***

# 3
Here is a relaxed structure of FeNi2As2 from Alexandria via LeMat-Bulk. Energies are from PBE.

- DFT total energy (eV per atom) = -5.845
- calculated density (g cm⁻³) = 8.0
- formation energy (meV per atom) = 20
- DOS at the Fermi energy (states/eV/cell) = 6.76
- spin magnetization (μB per cell) = 2.79

Structure (CIF):
```
data_FeNi2As2
_cell_length_a 6.4359
_cell_length_b 6.4359
_cell_length_c 3.2283
_cell_angle_alpha 90.00
_cell_angle_beta 90.00
_cell_angle_gamma 90.00
_symmetry_space_group_name_H-M 'P 4/m b m'
_symmetry_Int_Tables_number 127
_symmetry_space_group_name_Hall '-P 4 2ab'
loop_
_atom_site_label
_atom_site_type_symbol
_atom_site_fract_x
_atom_site_fract_y
_atom_site_fract_z
Fe1 Fe 0.0000 0.0000 0.0000
Ni1 Ni 0.1398 0.3602 0.5000
As1 As 0.1598 0.6598 0.0000
```

***

# 4
Here is a relaxed structure of YTe2Pt from Alexandria via LeMat-Bulk. Energies are from PBE.

- DFT total energy (eV per atom) = -5.127
- calculated density (g cm⁻³) = 8.9
- DOS at the Fermi energy (states/eV/cell) = 4.76
- energy relative to the lowest polymorph listed for this composition (meV/atom) = 496
- spin magnetization (μB per cell) = 0.00

Structure (CIF):
```
data_YTe2Pt
_cell_length_a 4.5432
_cell_length_b 6.0903
_cell_length_c 7.2783
_cell_angle_alpha 90.00
_cell_angle_beta 90.00
_cell_angle_gamma 90.00
_symmetry_space_group_name_H-M 'C m m m'
_symmetry_Int_Tables_number 65
_symmetry_space_group_name_Hall '-C 2 2'
loop_
_atom_site_label
_atom_site_type_symbol
_atom_site_fract_x
_atom_site_fract_y
_atom_site_fract_z
Y1 Y 0.0000 0.0000 0.0000
Te1 Te 0.0000 0.5000 0.2713
Pt1 Pt 0.0000 0.0000 0.5000
```